Entry from the Alexandria database: Sm4SbN2 after structural relaxation (PBE-GGA).

## Properties
Its theoretical density is 8.10 g/cm³. Its total energy is -94.947 eV/cell. Its space group is Cmcm (63).

CIF file:
```
data_Sm4SbN2
_symmetry_space_group_name_H-M 'P 1'
_symmetry_Int_Tables_number 1
_cell_length_a 3.8869
_cell_length_b 6.4802
_cell_length_c 12.8110
_cell_angle_alpha 90.00
_cell_angle_beta 90.00
_cell_angle_gamma 107.45
loop_
_symmetry_equiv_pos_as_xyz
'x,y,z'
loop_
_atom_site_label
_atom_site_fract_x
_atom_site_fract_y
_atom_site_fract_z
N1 0.1390 0.2779 0.0595
N2 0.1390 0.2779 0.4405
N3 0.8610 0.7221 0.9405
N4 0.8610 0.7221 0.5595
Sm1 0.9174 0.8349 0.7500
Sm2 0.2388 0.4776 0.8973
Sm3 0.5000 0.0000 0.0000
Sm4 0.5000 0.0000 0.5000
Sm5 0.7612 0.5224 0.3973
Sm6 0.7612 0.5224 0.1027
Sm7 0.2388 0.4776 0.6027
Sm8 0.0826 0.1651 0.2500
Sb1 0.6076 0.2152 0.7500
Sb2 0.3924 0.7848 0.2500
```